Entry 1:
The following is a PBE calculation of a relaxed structure of CdPbF4, from the Alexandria database.

POSCAR file:
```
CdPbF4
1.0
-3.447 2.126 -0.483
-2.609 0.387 3.110
1.080 6.298 2.795
Pb F Cd
1 4 1
direct
0.000 0.000 0.000
0.382 0.382 0.854
0.618 0.618 0.146
0.131 0.131 0.608
0.869 0.869 0.392
0.500 0.500 0.500
```

Calculated values
ρ ... 6.9 g/cm³
DFT total energy ... -4.301 eV per atom
V ... 15.760 A^3/atom
Spin magnetization ... 0.00 μB per formula unit
Excess energy over the best structure of this formula in the dataset ... 0.003 eV per atom
E_form (uncorrected) ... -2.28 eV/atom
N(E_F) ... 0.00 states/eV per cell

---

Entry 2:
The following is a PBE calculation of a relaxed structure of YSiOs, from the Alexandria database.

POSCAR file:
```
YSiOs
1.0
5.800 -0.003 0.003
4.938 3.042 0.006
0.862 0.240 3.035
Os Y Si
1 1 1
direct
0.969 0.969 0.031
0.664 0.664 0.336
0.367 0.367 0.633
```

Calculated values
ρ ... 9.5 g/cm³
DFT total energy ... -8.146 eV per atom
V ... 17.860 A^3/atom
Spin magnetization ... 0.00 μB per formula unit
E_form (uncorrected) ... -0.44 eV/atom
N(E_F) ... 1.45 states/eV per cell

---

Entry 3:
The following is a PBE calculation of a relaxed structure of TbZnAu, from the Alexandria database.

POSCAR file:
```
TbZnAu
1.0
4.685 0.000 0.000
2.342 4.057 0.000
2.342 1.352 3.825
Zn Au Tb
1 1 1
direct
0.000 0.000 0.000
0.250 0.250 0.250
0.500 0.500 0.500
```

Calculated values
ρ ... 9.6 g/cm³
DFT total energy ... -3.546 eV per atom
V ... 24.232 A^3/atom
Energy relative to the elements ... -485 meV/atom
Spin magnetization ... 0.00 μB per formula unit
N(E_F) ... 3.60 states/eV per cell